! Ba3PaNi2O8, optimized geometry, DFT PBE with a Hubbard U; values from VASP
&SYSTEM
  ibrav = 0, nat = 14, ntyp = 4
/
ATOMIC_SPECIES
Ba 137.33 Ba.upf
Pa 231.04 Pa.upf
Ni 58.69 Ni.upf
O 16.00 O.upf
ATOMIC_POSITIONS angstrom
Ba 0.0000 0.0000 0.0000
Ba 3.0021 1.7332 2.6292
Ba 0.0000 3.4665 5.0563
Pa 0.0000 0.0000 3.8427
Ni 3.0021 1.7332 6.0937
Ni 0.0000 3.4665 1.5918
O 3.0021 3.4578 5.1403
O 1.5085 0.8709 5.1403
O 0.0000 3.4665 7.4927
O 1.4936 4.3288 2.5452
O -1.4935 4.3288 2.5452
O 3.0021 1.7332 0.1928
O 0.0000 1.7419 2.5452
O 4.4956 0.8709 5.1403
CELL_PARAMETERS angstrom
6.0041 0.0000 0.0000
-3.0021 5.1997 0.0000
0.0000 0.0000 7.6855
! - calculated total energy (eV/atom) = -6.571
! - SG = P-3m1, No. 164
! - V (Å³/f.u.) = 239.9